Computed, not measured: Li3PdPb4 after structural relaxation at the PBE level of DFT. Values from VASP.

```
&SYSTEM
  ibrav = 0, nat = 8, ntyp = 3
/
ATOMIC_SPECIES
Li 6.94 Li.upf
Pd 106.42 Pd.upf
Pb 207.20 Pb.upf
CELL_PARAMETERS angstrom
-2.3957 -2.1105 1.3745
6.6551 -6.2510 2.0011
7.4986 -1.6572 6.1295
ATOMIC_POSITIONS angstrom
Li 3.3275 -3.1255 1.0005
Li 4.9349 -4.6500 5.8566
Li 6.8230 -5.3688 3.6485
Pd -1.1978 -1.0553 0.6873
Pb 4.2385 -1.9767 4.3521
Pb 7.5195 -8.0420 5.1529
Pb 3.8120 -5.1336 3.1569
Pb 7.9460 -4.8852 6.3481
```

Output
Size of the total moment (Bohr magnetons per cell): 0.00
Electronic total energy (eV per atom): -3.4090
ΔE_f (eV/atom): -0.19
SG: No. 12
ΔE to the lowest computed polymorph (meV per atom): 68

---

Computed, not measured: LiPd2Pb6 after structural relaxation at the PBE level of DFT. Values from VASP.

```
&SYSTEM
  ibrav = 0, nat = 18, ntyp = 3
/
ATOMIC_SPECIES
Li 6.94 Li.upf
Pd 106.42 Pd.upf
Pb 207.20 Pb.upf
CELL_PARAMETERS angstrom
-2.7601 2.9048 6.0267
-6.4597 0.2906 -3.0984
-2.5983 -7.3159 4.7309
ATOMIC_POSITIONS angstrom
Li -4.6099 1.5977 1.4642
Li -1.2992 -3.6579 2.3655
Pd -6.8116 -2.4592 8.2061
Pd -8.9439 -3.8103 4.2285
Pd -2.8742 -0.3102 3.4308
Pd -5.0065 -1.6613 -0.5469
Pb -9.2773 0.9866 3.0277
Pb -7.8307 -1.6450 5.6332
Pb -9.2628 -4.0812 7.5180
Pb -4.4293 -2.2811 5.9063
Pb -5.1821 -4.7478 8.1169
Pb -5.7062 0.1420 3.7999
Pb -2.5408 -5.1071 4.6315
Pb -3.9874 -2.4755 2.0260
Pb -2.5553 -0.0393 0.1412
Pb -7.3888 -1.8394 1.7530
Pb -6.6360 0.6273 -0.4576
Pb -6.1119 -4.2625 3.8593
```

Output
Size of the total moment (Bohr magnetons per cell): 0.00
Electronic total energy (eV per atom): -3.9614
ΔE_f (eV/atom): -0.12
SG: No. 14
ΔE to the lowest computed polymorph (meV per atom): 81

---

Computed, not measured: Li3Pd4Pb after structural relaxation at the PBE level of DFT. Values from VASP.

```
&SYSTEM
  ibrav = 0, nat = 16, ntyp = 3
/
ATOMIC_SPECIES
Pb 207.20 Pb.upf
Pd 106.42 Pd.upf
Li 6.94 Li.upf
CELL_PARAMETERS angstrom
4.2640 0.0000 0.0000
0.0000 6.6530 0.0000
0.0000 0.0000 8.5284
ATOMIC_POSITIONS angstrom
Pb 0.0000 3.3265 0.0000
Pb 0.0000 3.3265 4.2642
Pd 2.1320 5.1462 0.0000
Pd 2.1320 5.1462 4.2642
Pd 2.1320 1.5068 0.0000
Pd 2.1320 1.5068 4.2642
Pd 4.2637 5.1462 6.3963
Pd 0.0003 5.1462 2.1321
Pd 0.0003 1.5067 2.1321
Pd 4.2637 1.5067 6.3963
Li 0.0000 0.0000 0.0000
Li 0.0000 0.0000 4.2642
Li 2.1329 0.0000 6.3963
Li 2.1312 0.0000 2.1321
Li 2.1314 3.3265 6.3963
Li 2.1327 3.3265 2.1321
```

Output
Size of the total moment (Bohr magnetons per cell): 0.00
Electronic total energy (eV per atom): -4.2158
ΔE_f (eV/atom): -0.44
SG: No. 123
ΔE to the lowest computed polymorph (meV per atom): 0

---

Computed, not measured: Li3Pd2Pb2 after structural relaxation at the PBE level of DFT. Values from VASP.

```
&SYSTEM
  ibrav = 0, nat = 7, ntyp = 3
/
ATOMIC_SPECIES
Li 6.94 Li.upf
Pd 106.42 Pd.upf
Pb 207.20 Pb.upf
CELL_PARAMETERS angstrom
-2.5604 1.6807 3.5340
-0.6396 -4.3861 -1.4908
6.6218 -1.9152 2.5161
ATOMIC_POSITIONS angstrom
Li 0.0000 0.0000 0.0000
Li 1.3895 -3.6441 2.6696
Li 2.0323 -0.9766 1.8897
Pd -0.5194 -2.7300 0.8903
Pd 3.9413 -1.8907 3.6690
Pb 4.1421 -3.7046 1.5818
Pb -0.7203 -0.9161 2.9775
```

Output
Size of the total moment (Bohr magnetons per cell): 0.00
Electronic total energy (eV per atom): -3.7851
ΔE_f (eV/atom): -0.42
SG: No. 12
ΔE to the lowest computed polymorph (meV per atom): 0

---

Computed, not measured: LiPd3Pb after structural relaxation at the PBE level of DFT. Values from VASP.

```
&SYSTEM
  ibrav = 0, nat = 20, ntyp = 3
/
ATOMIC_SPECIES
Li 6.94 Li.upf
Pd 106.42 Pd.upf
Pb 207.20 Pb.upf
CELL_PARAMETERS angstrom
5.5802 0.0000 0.0000
0.0000 8.7016 0.0000
0.0000 0.0000 7.5466
ATOMIC_POSITIONS angstrom
Li 0.0000 4.3508 0.0000
Li 2.7901 0.0000 3.7733
Li 2.7901 0.0000 0.0000
Li 0.0000 4.3508 3.7733
Pd 4.5179 2.0089 0.4868
Pd 3.8525 6.3597 4.2601
Pd 3.8525 6.3597 7.0598
Pd 1.0623 6.6927 4.2601
Pd 1.0623 6.6927 7.0598
Pd 1.7278 2.3419 3.2865
Pd 1.7278 2.3419 0.4868
Pd 4.5179 2.0089 3.2865
Pd 0.3609 2.4329 5.6599
Pd 2.4292 6.7838 1.8866
Pd 5.2193 6.2687 1.8866
Pd 3.1510 1.9179 5.6599
Pb 2.3102 4.5242 5.6599
Pb 0.4799 0.1734 1.8866
Pb 3.2700 4.1774 1.8866
Pb 5.1003 8.5282 5.6599
```

Output
Size of the total moment (Bohr magnetons per cell): 0.00
Electronic total energy (eV per atom): -4.4708
ΔE_f (eV/atom): -0.23
SG: No. 62
ΔE to the lowest computed polymorph (meV per atom): 134

---

Computed, not measured: Li3Pd7Pb2 after structural relaxation at the PBE level of DFT. Values from VASP.

```
&SYSTEM
  ibrav = 0, nat = 12, ntyp = 3
/
ATOMIC_SPECIES
Li 6.94 Li.upf
Pd 106.42 Pd.upf
Pb 207.20 Pb.upf
CELL_PARAMETERS angstrom
-1.1727 3.6645 -2.0581
-2.5867 -2.4157 -2.8273
-7.1572 2.3146 8.1994
ATOMIC_POSITIONS angstrom
Li -1.8797 0.6244 -2.4427
Li -4.3890 0.9530 -0.4277
Li -6.5276 2.6104 3.7417
Pd -7.2110 0.9444 5.7904
Pd -4.9496 -0.7290 1.5223
Pd 0.0000 0.0000 0.0000
Pd -2.5328 -1.0455 -0.4183
Pd -1.7957 1.9906 -0.0579
Pd -9.1208 1.5728 3.3719
Pd -4.7943 0.6279 3.8498
Pb -7.2174 -0.4319 3.3434
Pb -2.5264 0.3309 2.0287
```

Output
Size of the total moment (Bohr magnetons per cell): 0.00
Electronic total energy (eV per atom): -4.4073
ΔE_f (eV/atom): -0.28
SG: No. 65
ΔE to the lowest computed polymorph (meV per atom): 0

---

Which of these has the highest electronic total energy?
Li3PdPb4

---

Number 6 is which compound?
Li3Pd7Pb2

---

What is the formula in the first record?
Li3PdPb4

---

Number 4 is which compound?
Li3Pd2Pb2